## Mn3GePd (GGA-PBEsol)

Data for Mn3GePd after structural relaxation.

- ΔE_f: 0.95 eV per atom
- Energy: -7.084 eV per atom

a = 4.4493 Å, b = 4.4493 Å, c = 4.4493 Å
α = 90.00°, β = 90.00°, γ = 90.00°
Last column: nearest neighbours and their distance in Å.
Fractional positions:
Ge 0.0000 0.0000 0.0000  6 Mn 2.22
Mn 0.0000 0.5000 0.0000  2 Ge 2.22
Mn 0.0000 0.0000 0.5000  2 Ge 2.22
Mn 0.5000 0.0000 0.0000  2 Ge 2.22
Pd 0.5000 0.5000 0.5000  12 Mn 3.15

## Mn2GePdPt (GGA-PBEsol)

Data for Mn2GePdPt after structural relaxation.

- ΔE_f: 0.80 eV per atom
- Energy: -6.679 eV per atom

a = 4.5091 Å, b = 4.4835 Å, c = 4.4835 Å
α = 90.00°, β = 90.00°, γ = 90.00°
Last column: nearest neighbours and their distance in Å.
Fractional positions:
Ge 0.0000 0.0000 0.0000  4 Mn 2.24, 2 Pt 2.25
Mn 0.0000 0.0000 0.5000  2 Ge 2.24
Mn 0.0000 0.5000 0.0000  2 Ge 2.24
Pd 0.5000 0.5000 0.5000  4 Pt 3.17, 8 Mn 3.18
Pt 0.5000 0.0000 0.0000  2 Ge 2.25

## Mn3GePt (GGA-PBEsol)

Data for Mn3GePt after structural relaxation.

- ΔE_f: 0.96 eV per atom
- Energy: -7.276 eV per atom

a = 4.3924 Å, b = 4.3924 Å, c = 4.3924 Å
α = 90.00°, β = 90.00°, γ = 90.00°
Last column: nearest neighbours and their distance in Å.
Fractional positions:
Ge 0.0000 0.0000 0.0000  6 Mn 2.20
Mn 0.0000 0.5000 0.0000  2 Ge 2.20
Mn 0.0000 0.0000 0.5000  2 Ge 2.20
Mn 0.5000 0.0000 0.0000  2 Ge 2.20
Pt 0.5000 0.5000 0.5000  12 Mn 3.11

## MnGe2SbPt (GGA-PBEsol)

Data for MnGe2SbPt after structural relaxation.

- Raw formation energy: 136.7 kJ/mol of atoms
- Energy: -4.815 eV per atom

a = 4.7823 Å, b = 5.1217 Å, c = 5.1217 Å
α = 90.00°, β = 90.00°, γ = 90.00°
Last column: nearest neighbours and their distance in Å.
Fractional positions:
Sb 0.0000 0.0000 0.0000  2 Mn 2.39, 4 Ge 2.56
Ge 0.0000 0.0000 0.5000  2 Sb 2.56
Ge 0.0000 0.5000 0.0000  2 Sb 2.56
Mn 0.5000 0.0000 0.0000  2 Sb 2.39
Pt 0.5000 0.5000 0.5000  8 Ge 3.50, 4 Mn 3.62

## MnReGe2 (GGA-PBEsol)

Data for MnReGe2 after structural relaxation.

- ΔE_f: 0.15 eV per atom
- Energy: -8.097 eV per atom

a = 4.2352 Å, b = 4.2352 Å, c = 4.2352 Å
α = 60.00°, β = 60.00°, γ = 60.00°
Last column: nearest neighbours and their distance in Å.
Fractional positions:
Re 0.5000 0.5000 0.5000  8 Ge 2.59
Ge 0.2500 0.2500 0.2500  4 Re 2.59, 4 Mn 2.59
Ge 0.7500 0.7500 0.7500  4 Re 2.59, 4 Mn 2.59
Mn 0.0000 0.0000 0.0000  8 Ge 2.59

## MnGeRh3 (GGA-PBEsol)

Data for MnGeRh3 after structural relaxation.

- ΔE_f: 0.67 eV per atom
- Energy: -7.152 eV per atom

a = 4.4421 Å, b = 4.4421 Å, c = 4.4421 Å
α = 90.00°, β = 90.00°, γ = 90.00°
Last column: nearest neighbours and their distance in Å.
Fractional positions:
Ge 0.0000 0.0000 0.0000  6 Rh 2.22
Mn 0.5000 0.5000 0.5000  12 Rh 3.14
Rh 0.0000 0.5000 0.0000  2 Ge 2.22
Rh 0.0000 0.0000 0.5000  2 Ge 2.22
Rh 0.5000 0.0000 0.0000  2 Ge 2.22

## Mn2GeRu (GGA-PBEsol)

Data for Mn2GeRu after structural relaxation.

- ΔE_f: -0.16 eV per atom
- Energy: -8.814 eV per atom

a = 4.1038 Å, b = 4.1038 Å, c = 4.1038 Å
α = 60.00°, β = 60.00°, γ = 60.00°
Last column: nearest neighbours and their distance in Å.
Fractional positions:
Ru 0.2500 0.2500 0.2500  4 Mn 2.51, 4 Ge 2.51
Ge 0.0000 0.0000 0.0000  4 Ru 2.51, 4 Mn 2.51
Mn 0.5000 0.5000 0.5000  4 Mn 2.51, 4 Ru 2.51
Mn 0.7500 0.7500 0.7500  4 Ge 2.51, 4 Mn 2.51

## ZrMnGeRu2 (GGA-PBEsol)

Data for ZrMnGeRu2 after structural relaxation.

- ΔE_f: 0.52 eV per atom
- Energy: -8.309 eV per atom

a = 4.2947 Å, b = 4.4685 Å, c = 4.4685 Å
α = 90.00°, β = 90.00°, γ = 90.00°
Last column: nearest neighbours and their distance in Å.
Fractional positions:
Ru 0.0000 0.0000 0.5000  2 Ge 2.23
Ru 0.0000 0.5000 0.0000  2 Ge 2.23
Ge 0.0000 0.0000 0.0000  2 Mn 2.15, 4 Ru 2.23
Mn 0.5000 0.0000 0.0000  2 Ge 2.15
Zr 0.5000 0.5000 0.5000  8 Ru 3.10, 4 Mn 3.16

## Mn2GeS4 (GGA-PBEsol)

Data for Mn2GeS4 after structural relaxation.

- Raw formation energy: -36.9 kJ/mol of atoms
- Energy: -6.382 eV per atom

a = 6.0818 Å, b = 6.9469 Å, c = 12.0399 Å
α = 90.00°, β = 90.00°, γ = 90.00°
Last column: nearest neighbours and their distance in Å.
Fractional positions:
Mn 0.5067 0.7500 0.2374  6 S 2.41-2.54
Mn 0.9933 0.7500 0.7374  6 S 2.41-2.54
Mn 0.4933 0.2500 0.7626  6 S 2.41-2.54
Mn 0.5000 0.0000 0.5000  6 S 2.35-2.47
Mn 0.0067 0.2500 0.2626  6 S 2.41-2.54
Mn 0.0000 0.0000 0.0000  6 S 2.35-2.47
Mn 0.0000 0.5000 0.0000  6 S 2.35-2.47
Mn 0.5000 0.5000 0.5000  6 S 2.35-2.47
Ge 0.0788 0.2500 0.5872  4 S 2.29-2.36
Ge 0.9212 0.7500 0.4128  4 S 2.29-2.36
Ge 0.5788 0.7500 0.9128  4 S 2.29-2.36
Ge 0.4212 0.2500 0.0872  4 S 2.29-2.36
S 0.2614 0.9956 0.6662  1 Ge 2.29, 3 Mn 2.47-2.54
S 0.2386 0.2500 0.9192  1 Ge 2.31, 3 Mn 2.44-2.46
S 0.1903 0.7500 0.9110  3 Mn 2.35-2.41, 1 Ge 2.36
S 0.3097 0.7500 0.4110  3 Mn 2.35-2.41, 1 Ge 2.36
S 0.2386 0.9956 0.1662  1 Ge 2.29, 3 Mn 2.47-2.54
S 0.7614 0.0044 0.8338  1 Ge 2.29, 3 Mn 2.47-2.54
S 0.7386 0.4956 0.3338  1 Ge 2.29, 3 Mn 2.47-2.54
S 0.6903 0.2500 0.5890  3 Mn 2.35-2.41, 1 Ge 2.36
S 0.2614 0.2500 0.4192  1 Ge 2.31, 3 Mn 2.44-2.46
S 0.2614 0.5044 0.6662  1 Ge 2.29, 3 Mn 2.47-2.54
S 0.8097 0.2500 0.0890  3 Mn 2.35-2.41, 1 Ge 2.36
S 0.7614 0.4956 0.8338  1 Ge 2.29, 3 Mn 2.47-2.54
S 0.7614 0.7500 0.0808  1 Ge 2.31, 3 Mn 2.44-2.46
S 0.2386 0.5044 0.1662  1 Ge 2.29, 3 Mn 2.47-2.54
S 0.7386 0.0044 0.3338  1 Ge 2.29, 3 Mn 2.47-2.54
S 0.7386 0.7500 0.5808  1 Ge 2.31, 3 Mn 2.44-2.46

## MnGe3S (GGA-PBEsol)

Data for MnGe3S after structural relaxation.

- Raw formation energy: 15.8 kJ/mol of atoms
- Energy: -5.629 eV per atom

a = 4.5124 Å, b = 4.5124 Å, c = 4.5124 Å
α = 90.00°, β = 90.00°, γ = 90.00°
Last column: nearest neighbours and their distance in Å.
Fractional positions:
Ge 0.0000 0.5000 0.0000  2 Mn 2.26
Ge 0.0000 0.0000 0.5000  2 Mn 2.26
Ge 0.5000 0.0000 0.0000  2 Mn 2.26
Mn 0.0000 0.0000 0.0000  6 Ge 2.26
S 0.5000 0.5000 0.5000  12 Ge 3.19

## Tm6MnGe2S14 (GGA-PBEsol)

Data for Tm6MnGe2S14 after structural relaxation.

- Raw formation energy: -147.4 kJ/mol of atoms
- Energy: -6.329 eV per atom

a = 5.7073 Å, b = 9.5478 Å, c = 9.5478 Å
α = 120.00°, β = 90.00°, γ = 90.00°
Last column: nearest neighbours and their distance in Å.
Fractional positions:
Tm 0.2568 0.0264 0.4715  7 S 2.66-2.93
Tm 0.2568 0.5285 0.5549  7 S 2.66-2.93
Tm 0.2568 0.4451 0.9736  7 S 2.66-2.93
Tm 0.7625 0.3087 0.1946  7 S 2.65-2.91
Tm 0.7625 0.8054 0.1141  7 S 2.65-2.91
Tm 0.7625 0.8859 0.6913  7 S 2.65-2.91
Mn 0.4691 0.6667 0.3333  6 S 2.49-2.55
Ge 0.8324 0.3333 0.6667  4 S 2.18-2.23
Ge 0.3399 0.0000 0.0000  4 S 2.19-2.22
S 0.9978 0.1836 0.7586  1 Ge 2.23
S 0.9978 0.2414 0.4250  1 Ge 2.23
S 0.9978 0.5750 0.8164  1 Ge 2.23
S 0.5042 0.1488 0.9070  1 Ge 2.22
S 0.5042 0.0930 0.2418  1 Ge 2.22
S 0.5042 0.7582 0.8512  1 Ge 2.22
S 0.4498 0.3333 0.6667  1 Ge 2.18
S 0.9565 0.0000 0.0000  1 Ge 2.19
S 0.7032 0.9191 0.4346  1 Mn 2.49, 3 Tm 2.65-2.71
S 0.7032 0.5654 0.4845  1 Mn 2.49, 3 Tm 2.65-2.71
S 0.7032 0.5155 0.0809  1 Mn 2.49, 3 Tm 2.65-2.71
S 0.2189 0.4136 0.2339  1 Mn 2.55, 3 Tm 2.66-2.75
S 0.2189 0.7661 0.1797  1 Mn 2.55, 3 Tm 2.66-2.75
S 0.2189 0.8203 0.5864  1 Mn 2.55, 3 Tm 2.66-2.75

## Sc7Mn6Ge8 (GGA-PBEsol)

Data for Sc7Mn6Ge8 after structural relaxation.

- ΔE_f: -0.58 eV per atom
- Energy: -7.454 eV per atom

a = 9.7408 Å, b = 9.7408 Å, c = 9.7408 Å
α = 89.74°, β = 60.15°, γ = 119.85°
Last column: nearest neighbours and their distance in Å.
Fractional positions:
Sc 0.2520 0.9419 0.3101  2 Ge 2.56-2.71
Sc 0.7480 0.0581 0.6899  2 Ge 2.56-2.71
Sc 0.7480 0.4380 0.3101  2 Ge 2.56-2.71
Sc 0.7480 0.6899 0.5620  2 Ge 2.56-2.71
Sc 0.2520 0.5620 0.6899  2 Ge 2.56-2.71
Sc 0.2520 0.3101 0.4380  2 Ge 2.56-2.71
Sc 0.2520 0.6899 0.0581  2 Ge 2.56-2.71
Sc 0.7480 0.3101 0.9419  2 Ge 2.56-2.71
Sc 0.0000 0.8364 0.1636  4 Mn 2.74, 4 Ge 2.78
Sc 0.0000 0.1636 0.8364  4 Mn 2.74, 4 Ge 2.78
Sc 0.6353 0.3176 0.6824  4 Ge 2.59-2.73, 1 Mn 2.83
Sc 0.3647 0.6824 0.3176  4 Ge 2.59-2.73, 1 Mn 2.83
Sc 0.0000 0.3176 0.3176  4 Ge 2.59-2.73, 1 Mn 2.83
Sc 0.0000 0.6824 0.6824  4 Ge 2.59-2.73, 1 Mn 2.83
Mn 0.3181 0.2242 0.0939  4 Ge 2.45-2.51, 3 Mn 2.58-2.63
Mn 0.6819 0.7758 0.9061  4 Ge 2.45-2.51, 3 Mn 2.58-2.63
Mn 0.6819 0.5879 0.0939  4 Ge 2.45-2.51, 3 Mn 2.58-2.63
Mn 0.6819 0.9061 0.4121  4 Ge 2.45-2.51, 3 Mn 2.58-2.63
Mn 0.3181 0.4121 0.9061  4 Ge 2.45-2.51, 3 Mn 2.58-2.63
Mn 0.3181 0.0939 0.5879  4 Ge 2.45-2.51, 3 Mn 2.58-2.63
Mn 0.3181 0.9061 0.7758  4 Ge 2.45-2.51, 3 Mn 2.58-2.63
Mn 0.6819 0.0939 0.2242  4 Ge 2.45-2.51, 3 Mn 2.58-2.63
Mn 0.2260 0.1130 0.8870  2 Mn 2.21
Mn 0.7740 0.8870 0.1130  2 Mn 2.21
Mn 0.0000 0.1130 0.1130  2 Mn 2.21
Mn 0.0000 0.8870 0.8870  2 Mn 2.21
Ge 0.0000 0.6080 0.3920  8 Sc 2.71-2.92, 1 Ge 2.97
Ge 0.0000 0.3920 0.6080  8 Sc 2.71-2.92, 1 Ge 2.97
Ge 0.5000 0.2500 0.2500  4 Sc 2.56, 4 Mn 2.78
Ge 0.5000 0.7500 0.7500  4 Sc 2.56, 4 Mn 2.78
Ge 0.6248 0.5000 0.8752  1 Ge 2.44, 4 Mn 2.51, 2 Sc 2.59
Ge 0.3752 0.5000 0.1248  1 Ge 2.44, 4 Mn 2.51, 2 Sc 2.59
Ge 0.6248 0.1248 0.5000  1 Ge 2.44, 4 Mn 2.51, 2 Sc 2.59
Ge 0.3752 0.8752 0.5000  1 Ge 2.44, 4 Mn 2.51, 2 Sc 2.59
Ge 0.4031 0.0403 0.9597  3 Mn 2.45-2.53, 1 Sc 2.73
Ge 0.5969 0.9597 0.0403  3 Mn 2.45-2.53, 1 Sc 2.73
Ge 0.5969 0.6372 0.3628  3 Mn 2.45-2.53, 1 Sc 2.73
Ge 0.0000 0.0403 0.3628  3 Mn 2.45-2.53, 1 Sc 2.73
Ge 0.0000 0.3628 0.0403  3 Mn 2.45-2.53, 1 Sc 2.73
Ge 0.4031 0.3628 0.6372  3 Mn 2.45-2.53, 1 Sc 2.73
Ge 0.0000 0.9597 0.6372  3 Mn 2.45-2.53, 1 Sc 2.73
Ge 0.0000 0.6372 0.9597  3 Mn 2.45-2.53, 1 Sc 2.73